<1>
This record from Alexandria via LeMat-Bulk describes In2PPb after structural relaxation. The functional is PBEsol.

## Properties
SG: Imm2 (44)
Fermi-level density of states in states/eV/cell: 1.75
M_tot in μB per atom: 0.000

Structure (POSCAR):
```
In2PPb
1.0
3.703 0.000 0.000
0.000 5.017 0.000
-1.851 -2.509 5.216
Pb In P
1 2 1
Direct
0.795 0.295 0.590
0.202 0.702 0.403
0.998 0.998 0.997
0.505 0.505 0.011
```

<2>
This record from Alexandria via LeMat-Bulk describes In2PPb after structural relaxation. The functional is PBEsol.

## Properties
SG: Cmmm (65)
Fermi-level density of states in states/eV/cell: 1.80
M_tot in μB per atom: 0.000

Structure (POSCAR):
```
In2PPb
1.0
-1.831 2.264 -2.461
-4.630 -1.092 2.440
2.513 4.257 2.048
In Pb P
2 1 1
Direct
0.000 0.207 0.292
0.000 0.793 0.708
0.500 0.500 0.000
0.500 0.000 0.500
```

Consider the structures shown above. The most stable of them is <2>.